A plane-wave DFT calculation with PBE was carried out for a geometry-optimized La3Fe2 structure.

Geometry as POSCAR:
```
La3Fe2
1.0
5.803 -0.377 3.672
-5.694 2.625 2.826
2.184 -6.743 2.295
Fe La
4 6
Cartesian
0.421 -4.777 5.284
1.872 0.281 3.511
-2.784 -1.590 4.235
5.077 -2.906 4.559
1.549 -1.574 1.714
3.493 -0.928 5.148
-0.367 0.064 4.819
0.744 -2.922 7.080
-1.200 -3.568 3.646
2.660 -4.560 3.976
```

## Properties
As for the symmetry: R-3c. Its formation energy is 0.292 eV/atom. The electronic total energy is -5.985 eV per atom. The total magnetization is 0.12 μB per cell.